--- one ---
Compound: Hf4P
Source: Alexandria
Functional: PBE
Structure: optimized geometry

Summary:
The calculated volume comes out at 205.9 Å³/cell. The value obtained for the magnetization is 0.000 μB per cell. As for the symmetry: I-42d (122).

Cell: 6.552 6.552 6.551 Å, 102.74 102.74 123.99°
Element x y z (fractional)
Hf 0.773 0.029 0.865
Hf 0.164 0.909 0.135
Hf 0.138 0.502 0.756
Hf 0.752 0.888 0.256
Hf 0.159 0.914 0.635
Hf 0.632 0.496 0.744
Hf 0.746 0.382 0.244
Hf 0.279 0.523 0.365
P 0.330 0.330 0.000
P 0.580 0.080 0.500

=====

--- two ---
Compound: Hf4P
Source: Alexandria
Functional: PBE
Structure: optimized geometry

Summary:
The calculated volume comes out at 113.6 Å³/cell. The value obtained for the magnetization is 0.000 μB per cell. As for the symmetry: Pm-3m (221).

Cell: 4.843 4.843 4.843 Å, 90.00 90.00 90.00°
Element x y z (fractional)
Hf 0.500 0.500 0.000
Hf 0.000 0.000 0.000
Hf 0.500 0.000 0.500
Hf 0.000 0.500 0.500
P 0.500 0.500 0.500

=====

The structure with the greatest stability is one.